11
Lattice="9.750 -1.380 0.000 9.750 1.380 0.000 -2.357 0.000 6.912" Properties=species:S:1:pos:R:3 comment="PBE Al4Zn5Ga2, relaxed" m_tot_mub_per_cell=0.0 vol_a3_per_atom=16.9 delta_e_f_ev_per_atom=0.069 pbc="T T T"
Al -0.059 0.000 2.497
Al 5.027 0.000 3.537
Al 12.115 0.000 3.375
Al 17.201 0.000 4.415
Zn 2.177 0.000 0.906
Zn 2.963 0.000 5.792
Zn 9.750 0.000 0.000
Zn 14.179 0.000 1.120
Zn 14.965 0.000 6.007
Ga 0.354 0.000 5.181
Ga 16.788 0.000 1.732

---

28
Lattice="5.994 0.000 0.000 0.000 10.648 0.000 -5.538 0.000 7.915" Properties=species:S:1:pos:R:3 comment="PBE Al3ZnGa3, relaxed" m_tot_mub_per_cell=0.0 vol_a3_per_atom=18.0 delta_e_f_ev_per_atom=0.068 polymorph_energy_mev_per_atom=0 pbc="T T T"
Al 0.640 2.567 0.020
Al -2.129 2.758 3.977
Al -3.553 7.939 6.987
Al -0.784 8.034 3.029
Al -1.454 5.481 4.213
Al 1.315 10.492 0.255
Al -0.859 0.156 7.660
Al 1.910 5.168 3.702
Al 1.240 2.615 4.886
Al 4.009 2.710 0.928
Al 2.585 7.891 3.938
Al -0.184 8.082 7.895
Zn -0.626 0.730 4.990
Zn 2.143 4.594 1.033
Zn -1.687 6.054 6.882
Zn 1.082 9.918 2.925
Ga -1.319 0.448 2.492
Ga -4.088 4.876 6.450
Ga -2.786 1.634 6.488
Ga -0.017 3.691 2.531
Ga 1.328 7.044 1.588
Ga -1.441 8.929 5.546
Ga 1.897 1.720 2.369
Ga -0.872 3.604 6.327
Ga 0.473 6.958 5.384
Ga 3.242 9.015 1.427
Ga 4.544 5.772 1.465
Ga 1.775 10.200 5.423